Entry 1:
Material: Ce4Pu3Te8
Method: DFT, GGA-PBE
State: optimized geometry

```
data_Ce4Pu3Te8
_chemical_formula_sum 'Ce8 Pu6 Te16'
_symmetry_space_group_name_H-M 'C 1 2/m 1'
_symmetry_Int_Tables_number 12
_cell_length_a 12.6001
_cell_length_b 12.6159
_cell_length_c 8.8819
_cell_angle_alpha 90.00
_cell_angle_beta 134.71
_cell_angle_gamma 90.00
loop_
_symmetry_equiv_pos_as_xyz
'x,y,z'
'-x,-y,-z'
'-x,y,-z'
'x,-y,z'
'x+1/2,y+1/2,z'
'-x+1/2,-y+1/2,-z'
'-x+1/2,y+1/2,-z'
'x+1/2,-y+1/2,z'
loop_
_atom_site_label
_atom_site_type_symbol
_atom_site_fract_x
_atom_site_fract_y
_atom_site_fract_z
Ce1 Ce 0.0000 0.0000 0.0000
Ce2 Ce 0.0000 0.5000 0.5000
Ce3 Ce 0.2500 0.2500 0.0000
Pu1 Pu 0.0000 0.0000 0.5000
Pu2 Pu 0.2500 0.2500 0.5000
Te1 Te 0.0000 0.2475 0.5000
Te2 Te 0.0000 0.2551 0.0000
Te3 Te 0.2460 0.5000 0.0029
Te4 Te 0.2476 0.5000 0.4916
```

Results
The calculation puts the uncorrected formation energy at -1.250 eV/atom.

Entry 2:
Material: Ce6PuTe2
Method: DFT, GGA-PBE
State: optimized geometry

```
data_Ce6PuTe2
_chemical_formula_sum 'Ce12 Pu2 Te4'
_symmetry_space_group_name_H-M 'P 1 21/c 1'
_symmetry_Int_Tables_number 14
_cell_length_a 6.7571
_cell_length_b 9.3831
_cell_length_c 9.5610
_cell_angle_alpha 90.00
_cell_angle_beta 122.42
_cell_angle_gamma 90.00
loop_
_symmetry_equiv_pos_as_xyz
'x,y,z'
'-x,-y,-z'
'-x,y+1/2,-z+1/2'
'x,-y+1/2,z+1/2'
loop_
_atom_site_label
_atom_site_type_symbol
_atom_site_fract_x
_atom_site_fract_y
_atom_site_fract_z
Ce1 Ce 0.1671 0.1316 0.4770
Ce2 Ce 0.3020 0.7312 0.9432
Ce3 Ce 0.3258 0.0246 0.2013
Pu1 Pu 0.5000 0.0000 0.5000
Te1 Te 0.2055 0.0743 0.8226
```

Results
The calculation puts the uncorrected formation energy at -0.609 eV/atom.

Entry 3:
Material: CePu5Te8
Method: DFT, GGA-PBE
State: optimized geometry

```
data_CePu5Te8
_chemical_formula_sum 'Ce2 Pu10 Te16'
_symmetry_space_group_name_H-M 'I -4'
_symmetry_Int_Tables_number 82
_cell_length_a 9.3948
_cell_length_b 9.3948
_cell_length_c 9.3878
_cell_angle_alpha 90.00
_cell_angle_beta 90.00
_cell_angle_gamma 90.00
loop_
_symmetry_equiv_pos_as_xyz
'x,y,z'
'y,-x,-z'
'-x,-y,z'
'-y,x,-z'
'x+1/2,y+1/2,z+1/2'
'y+1/2,-x+1/2,-z+1/2'
'-x+1/2,-y+1/2,z+1/2'
'-y+1/2,x+1/2,-z+1/2'
loop_
_atom_site_label
_atom_site_type_symbol
_atom_site_fract_x
_atom_site_fract_y
_atom_site_fract_z
Ce1 Ce 0.0000 0.0000 0.0000
Pu1 Pu 0.0000 0.5000 0.7500
Pu2 Pu 0.1254 0.2501 0.3754
Te1 Te 0.0746 0.1754 0.6993
Te2 Te 0.0757 0.3266 0.0511
```

Results
The calculation puts the uncorrected formation energy at -1.158 eV/atom.

Entry 4:
Material: CePuTe
Method: DFT, GGA-PBE
State: optimized geometry

```
data_CePuTe
_chemical_formula_sum 'Ce1 Pu1 Te1'
_symmetry_space_group_name_H-M 'P -6 m 2'
_symmetry_Int_Tables_number 187
_symmetry_space_group_name_Hall 'P -6 2'
_cell_length_a 4.9946
_cell_length_b 4.9946
_cell_length_c 3.6124
_cell_angle_alpha 90.00
_cell_angle_beta 90.00
_cell_angle_gamma 120.00
loop_
_atom_site_label
_atom_site_type_symbol
_atom_site_fract_x
_atom_site_fract_y
_atom_site_fract_z
Ce1 Ce 0.0000 0.0000 0.0000
Pu1 Pu 0.3333 0.6667 0.0000
Te1 Te 0.6667 0.3333 0.5000
```

Results
The calculation puts the uncorrected formation energy at -0.373 eV/atom.

Entry 5:
Material: CePuTe2
Method: DFT, GGA-PBE
State: optimized geometry

```
data_CePuTe2
_chemical_formula_sum 'Ce1 Pu1 Te2'
_symmetry_space_group_name_H-M 'P 4/m m m'
_symmetry_Int_Tables_number 123
_symmetry_space_group_name_Hall '-P 4 2'
_cell_length_a 5.4178
_cell_length_b 5.4178
_cell_length_c 3.8502
_cell_angle_alpha 90.00
_cell_angle_beta 90.00
_cell_angle_gamma 90.00
loop_
_atom_site_label
_atom_site_type_symbol
_atom_site_fract_x
_atom_site_fract_y
_atom_site_fract_z
Ce1 Ce 0.0000 0.0000 0.0000
Pu1 Pu 0.5000 0.5000 0.0000
Te1 Te 0.0000 0.5000 0.5000
```

Results
The calculation puts the uncorrected formation energy at -1.130 eV/atom.

Entry 6:
Material: CePuTe2
Method: DFT, GGA-PBE
State: optimized geometry

```
data_CePuTe2
_chemical_formula_sum 'Ce3 Pu3 Te6'
_symmetry_space_group_name_H-M 'R 3 m'
_symmetry_Int_Tables_number 160
_symmetry_space_group_name_Hall 'R 3 -2"'
_cell_length_a 4.3410
_cell_length_b 4.3410
_cell_length_c 23.5917
_cell_angle_alpha 90.00
_cell_angle_beta 90.00
_cell_angle_gamma 120.00
loop_
_atom_site_label
_atom_site_type_symbol
_atom_site_fract_x
_atom_site_fract_y
_atom_site_fract_z
Ce1 Ce 0.0000 0.0000 0.0000
Pu1 Pu 0.0000 0.0000 0.8296
Te1 Te 0.0000 0.0000 0.2456
Te2 Te 0.0000 0.0000 0.4179
```

Results
The calculation puts the uncorrected formation energy at -1.160 eV/atom.

Entry 7:
Material: Ce2PuTe3
Method: DFT, GGA-PBE
State: optimized geometry

```
data_Ce2PuTe3
_chemical_formula_sum 'Ce4 Pu2 Te6'
_symmetry_space_group_name_H-M 'I m m m'
_symmetry_Int_Tables_number 71
_symmetry_space_group_name_Hall '-I 2 2'
_cell_length_a 4.4468
_cell_length_b 6.3320
_cell_length_c 13.4986
_cell_angle_alpha 90.00
_cell_angle_beta 90.00
_cell_angle_gamma 90.00
loop_
_atom_site_label
_atom_site_type_symbol
_atom_site_fract_x
_atom_site_fract_y
_atom_site_fract_z
Ce1 Ce 0.0000 0.0000 0.1680
Pu1 Pu 0.0000 0.0000 0.5000
Te1 Te 0.0000 0.5000 0.1632
Te2 Te 0.0000 0.5000 0.5000
```

Results
The calculation puts the uncorrected formation energy at -1.275 eV/atom.

Entry 8:
Material: CePuTe2
Method: DFT, GGA-PBE
State: optimized geometry

```
data_CePuTe2
_chemical_formula_sum 'Ce3 Pu3 Te6'
_symmetry_space_group_name_H-M 'R -3 m'
_symmetry_Int_Tables_number 166
_symmetry_space_group_name_Hall '-R 3 2"'
_cell_length_a 4.4515
_cell_length_b 4.4515
_cell_length_c 22.0814
_cell_angle_alpha 90.00
_cell_angle_beta 90.00
_cell_angle_gamma 120.00
loop_
_atom_site_label
_atom_site_type_symbol
_atom_site_fract_x
_atom_site_fract_y
_atom_site_fract_z
Ce1 Ce 0.0000 0.0000 0.0000
Pu1 Pu 0.0000 0.0000 0.5000
Te1 Te 0.0000 0.0000 0.2480
```

Results
The calculation puts the uncorrected formation energy at -1.229 eV/atom.

Entry 9:
Material: CePu2ThTe5
Method: DFT, GGA-PBE
State: optimized geometry

```
data_CePu2ThTe5
_chemical_formula_sum 'Ce1 Pu2 Th1 Te5'
_symmetry_space_group_name_H-M 'P 4/m m m'
_symmetry_Int_Tables_number 123
_symmetry_space_group_name_Hall '-P 4 2'
_cell_length_a 5.6403
_cell_length_b 5.6403
_cell_length_c 11.8842
_cell_angle_alpha 90.00
_cell_angle_beta 90.00
_cell_angle_gamma 90.00
loop_
_atom_site_label
_atom_site_type_symbol
_atom_site_fract_x
_atom_site_fract_y
_atom_site_fract_z
Ce1 Ce 0.0000 0.0000 0.0000
Pu1 Pu 0.5000 0.5000 0.1533
Th1 Th 0.0000 0.0000 0.5000
Te1 Te 0.0000 0.0000 0.2551
Te2 Te 0.0000 0.5000 0.0000
Te3 Te 0.5000 0.5000 0.5000
```

Results
The calculation puts the uncorrected formation energy at -0.484 eV/atom.

Entry 10:
Material: Ce3Pu2ThTe6
Method: DFT, GGA-PBE
State: optimized geometry

```
data_Ce3Pu2ThTe6
_chemical_formula_sum 'Ce6 Pu4 Th2 Te12'
_symmetry_space_group_name_H-M 'C 1 2/m 1'
_symmetry_Int_Tables_number 12
_cell_length_a 19.5081
_cell_length_b 4.4430
_cell_length_c 8.9823
_cell_angle_alpha 90.00
_cell_angle_beta 103.73
_cell_angle_gamma 90.00
loop_
_symmetry_equiv_pos_as_xyz
'x,y,z'
'-x,-y,-z'
'-x,y,-z'
'x,-y,z'
'x+1/2,y+1/2,z'
'-x+1/2,-y+1/2,-z'
'-x+1/2,y+1/2,-z'
'x+1/2,-y+1/2,z'
loop_
_atom_site_label
_atom_site_type_symbol
_atom_site_fract_x
_atom_site_fract_y
_atom_site_fract_z
Ce1 Ce 0.0000 0.0000 0.0000
Ce2 Ce 0.1651 0.5000 0.3341
Pu1 Pu 0.1663 0.5000 0.8328
Th1 Th 0.0000 0.0000 0.5000
Te1 Te 0.0020 0.5000 0.7525
Te2 Te 0.1684 0.0000 0.0805
Te3 Te 0.1678 0.0000 0.5887
```

Results
The calculation puts the uncorrected formation energy at -1.218 eV/atom.

Entry 11:
Material: Ce2Tm3PuTe6
Method: DFT, GGA-PBE
State: optimized geometry

```
data_Ce2Tm3PuTe6
_chemical_formula_sum 'Ce4 Tm6 Pu2 Te12'
_symmetry_space_group_name_H-M 'C 1 2/m 1'
_symmetry_Int_Tables_number 12
_cell_length_a 19.2467
_cell_length_b 4.3426
_cell_length_c 8.8640
_cell_angle_alpha 90.00
_cell_angle_beta 104.77
_cell_angle_gamma 90.00
loop_
_symmetry_equiv_pos_as_xyz
'x,y,z'
'-x,-y,-z'
'-x,y,-z'
'x,-y,z'
'x+1/2,y+1/2,z'
'-x+1/2,-y+1/2,-z'
'-x+1/2,y+1/2,-z'
'x+1/2,-y+1/2,z'
loop_
_atom_site_label
_atom_site_type_symbol
_atom_site_fract_x
_atom_site_fract_y
_atom_site_fract_z
Ce1 Ce 0.1671 0.0000 0.3348
Tm1 Tm 0.0000 0.5000 0.5000
Tm2 Tm 0.1671 0.0000 0.8340
Pu1 Pu 0.0000 0.5000 0.0000
Te1 Te 0.0035 0.0000 0.7451
Te2 Te 0.1628 0.5000 0.5929
Te3 Te 0.1687 0.5000 0.0743
```

Results
The calculation puts the uncorrected formation energy at -1.248 eV/atom.

Entry 12:
Material: Ce3Tm2PuTe6
Method: DFT, GGA-PBE
State: optimized geometry

```
data_Ce3Tm2PuTe6
_chemical_formula_sum 'Ce6 Tm4 Pu2 Te12'
_symmetry_space_group_name_H-M 'C 1 2/m 1'
_symmetry_Int_Tables_number 12
_cell_length_a 19.3753
_cell_length_b 4.3653
_cell_length_c 8.9300
_cell_angle_alpha 90.00
_cell_angle_beta 104.75
_cell_angle_gamma 90.00
loop_
_symmetry_equiv_pos_as_xyz
'x,y,z'
'-x,-y,-z'
'-x,y,-z'
'x,-y,z'
'x+1/2,y+1/2,z'
'-x+1/2,-y+1/2,-z'
'-x+1/2,y+1/2,-z'
'x+1/2,-y+1/2,z'
loop_
_atom_site_label
_atom_site_type_symbol
_atom_site_fract_x
_atom_site_fract_y
_atom_site_fract_z
Ce1 Ce 0.0000 0.0000 0.0000
Ce2 Ce 0.1646 0.5000 0.3326
Tm1 Tm 0.1644 0.5000 0.8283
Pu1 Pu 0.0000 0.0000 0.5000
Te1 Te 0.0038 0.5000 0.7480
Te2 Te 0.1666 0.0000 0.5929
Te3 Te 0.1713 0.0000 0.0735
```

Results
The calculation puts the uncorrected formation energy at -1.273 eV/atom.